{"formula": "SmY2HoEr6", "functional": "PBE", "state": "optimized geometry", "energy_ev_per_atom": -4.8334, "formation_enthalpy_0k_ev_per_fu": 1.27, "lattice": [[8.9984, -1.9481, -2.0217], [0.8591, 8.4738, -1.9817], [0.8591, -2.2944, 8.3945]], "species": ["Y", "Ho", "Er", "Er", "Er", "Er", "Y", "Er", "Er", "Er", "Sm", "Y", "Er", "Er", "Y", "Ho", "Sm", "Er", "Er", "Er"], "fractional_positions": [[0.4530, 0.8010, 0.6967], [0.7500, 0.5900, 0.4100], [0.4419, 0.2477, 0.8758], [0.6170, 0.4881, 0.7093], [0.0581, 0.1242, 0.7523], [0.3159, 0.9823, 0.4335], [0.9530, 0.6967, 0.8010], [0.6841, 0.0177, 0.5665], [0.1841, 0.5665, 0.0177], [0.3830, 0.5119, 0.2907], [0.2500, 0.9727, 0.0273], [0.5470, 0.1990, 0.3033], [0.1170, 0.7093, 0.4881], [0.8159, 0.4335, 0.9823], [0.0470, 0.3033, 0.1990], [0.2500, 0.4100, 0.5900], [0.7500, 0.0273, 0.9727], [0.5581, 0.7523, 0.1242], [0.9419, 0.8758, 0.2477], [0.8830, 0.2907, 0.5119]]}